# 1
The following is a DFT calculation (PBE) of crystalline Rb2CaNb at its relaxed geometry.

For the energy above the lowest structure with this stoichiometry, the calculation gives 42 meV/atom. For the formation enthalpy at 0 K, the calculation gives 5.1 eV per formula unit. For the total energy, the calculation gives -2.237 eV/atom. Its space-group type is No. 225.

Unit cell a=6.4665 b=6.4665 c=6.4665 alpha=60.00 beta=60.00 gamma=60.00
Fractional coordinates of all 4 atoms:
Ca 0.0000 0.0000 0.0000
Rb 0.2500 0.2500 0.2500
Rb 0.7500 0.7500 0.7500
Nb 0.5000 0.5000 0.5000

---

# 2
The following is a DFT calculation (PBE) of crystalline HoPaNi4 at its relaxed geometry.

For the formation enthalpy at 0 K, the calculation gives -2.2 eV per formula unit. For the total energy, the calculation gives -6.570 eV/atom. Its space-group type is No. 216.

Unit cell a=5.0544 b=5.0544 c=5.0544 alpha=60.00 beta=60.00 gamma=60.00
Fractional coordinates of all 6 atoms:
Ho 0.2500 0.2500 0.2500
Ni 0.6250 0.6250 0.1251
Ni 0.6250 0.1251 0.6250
Ni 0.1251 0.6250 0.6250
Ni 0.6250 0.6250 0.6250
Pa 0.0000 0.0000 0.0000

---

# 3
The following is a DFT calculation (PBE) of crystalline TaCoSb4 at its relaxed geometry.

For the total energy, the calculation gives -4.684 eV/atom. Its space-group type is No. 216. Its raw formation energy is 709 kJ/mol of formula units.

Unit cell a=5.9540 b=5.9540 c=5.9540 alpha=60.00 beta=60.00 gamma=60.00
Fractional coordinates of all 6 atoms:
Sb 0.3751 0.8747 0.3751
Sb 0.3751 0.3751 0.8747
Sb 0.8747 0.3751 0.3751
Sb 0.3751 0.3751 0.3751
Co 0.0000 0.0000 0.0000
Ta 0.7500 0.7500 0.7500

---

# 4
The following is a DFT calculation (PBE) of crystalline HfZrMnRu at its relaxed geometry.

For the formation enthalpy at 0 K, the calculation gives -1.7 eV per formula unit. For the total energy, the calculation gives -9.652 eV/atom. Its space-group type is No. 99.

Unit cell a=3.2186 b=3.2186 c=6.4652 alpha=90.00 beta=90.00 gamma=90.00
Fractional coordinates of all 4 atoms:
Ru 0.0000 0.0000 0.8608
Zr 0.5000 0.5000 0.6006
Hf 0.5000 0.5000 0.1118
Mn 0.0000 0.0000 0.3548

---

# 5
The following is a DFT calculation (PBE) of crystalline Mg2ScTa at its relaxed geometry.

For the energy above the lowest structure with this stoichiometry, the calculation gives 0 meV/atom. For the formation enthalpy at 0 K, the calculation gives 0.3 eV per formula unit. For the total energy, the calculation gives -5.273 eV/atom. Its space-group type is No. 99.

Unit cell a=2.9624 b=2.9624 c=9.6747 alpha=90.00 beta=90.00 gamma=90.00
Fractional coordinates of all 4 atoms:
Mg 0.0000 0.0000 0.9880
Mg 0.5000 0.5000 0.2477
Ta 0.5000 0.5000 0.7450
Sc 0.0000 0.0000 0.5193

---

# 6
The following is a DFT calculation (PBE) of crystalline TbPm7Dy4 at its relaxed geometry.

For the energy above the lowest structure with this stoichiometry, the calculation gives 252 meV/atom. For the formation enthalpy at 0 K, the calculation gives 3.1 eV per formula unit. For the total energy, the calculation gives -4.434 eV/atom. Its space-group type is No. 12.

Unit cell a=6.0106 b=11.6720 c=6.7471 alpha=83.53 beta=63.55 gamma=75.08
Fractional coordinates of all 12 atoms:
Pm 0.9387 0.3213 0.8013
Pm 0.6305 0.4988 0.2402
Pm 0.2109 0.0789 0.4993
Pm 0.5000 0.0000 0.0000
Pm 0.7891 0.9211 0.5007
Pm 0.3695 0.5012 0.7598
Pm 0.0613 0.6787 0.1987
Dy 0.2436 0.3203 0.1925
Dy 0.7564 0.6797 0.8075
Dy 0.3589 0.7762 0.5061
Dy 0.6411 0.2238 0.4939
Tb 0.0000 0.0000 0.0000

---

# 7
The following is a DFT calculation (PBE) of crystalline LaPu3Th4Se8 at its relaxed geometry.

For the total energy, the calculation gives -8.192 eV/atom. Its space-group type is No. 166. Its raw formation energy is -2469 kJ/mol of formula units.

Unit cell a=8.3280 b=8.4343 c=8.3283 alpha=119.59 beta=120.00 gamma=90.00
Fractional coordinates of all 16 atoms:
Se 0.2513 0.7451 0.5025
Se 0.7487 0.2549 0.4975
Se 0.2574 0.2549 0.0062
Se 0.2534 0.2601 0.5068
Se 0.7466 0.7399 0.4932
Se 0.2513 0.7451 0.9938
Se 0.7487 0.2549 0.0062
Se 0.7426 0.7451 0.9938
Th 0.0000 0.0000 0.0000
Th 0.5000 0.0000 0.0000
Th 0.0000 0.0000 0.5000
Th 0.5000 0.0000 0.5000
La 0.0000 0.5000 0.0000
Pu 0.5000 0.5000 0.0000
Pu 0.5000 0.5000 0.5000
Pu 0.0000 0.5000 0.5000

---

# 8
The following is a DFT calculation (PBE) of crystalline AgPS2O at its relaxed geometry.

For the energy above the lowest structure with this stoichiometry, the calculation gives 900 meV/atom. For the total energy, the calculation gives -2.672 eV/atom. Its space-group type is No. 123. Its raw formation energy is 783 kJ/mol of formula units.

Unit cell a=4.8101 b=4.8101 c=4.9005 alpha=90.00 beta=90.00 gamma=90.00
Fractional coordinates of all 5 atoms:
O 0.5000 0.5000 0.5000
S 0.0000 0.5000 0.0000
S 0.5000 0.0000 0.0000
P 0.0000 0.0000 0.5000
Ag 0.0000 0.0000 0.0000

---

# 9
The following is a DFT calculation (PBE) of crystalline GaHg2Se at its relaxed geometry.

For the energy above the lowest structure with this stoichiometry, the calculation gives 0 meV/atom. For the total energy, the calculation gives -1.740 eV/atom. Its space-group type is No. 122. Its raw formation energy is 15 kJ/mol of formula units.

Unit cell a=6.9099 b=6.9099 c=6.9455 alpha=60.17 beta=60.17 gamma=90.00
Fractional coordinates of all 8 atoms:
Ga 0.5000 0.5000 0.0000
Ga 0.2500 0.7500 0.5000
Se 0.0000 0.0000 0.0000
Se 0.7500 0.2500 0.5000
Hg 0.1302 0.6250 0.2500
Hg 0.8750 0.8698 0.7500
Hg 0.3750 0.3802 0.7500
Hg 0.6198 0.1250 0.2500

---

# 10
The following is a DFT calculation (PBE) of crystalline NbHgTe2 at its relaxed geometry.

For the energy above the lowest structure with this stoichiometry, the calculation gives 449 meV/atom. For the total energy, the calculation gives -4.052 eV/atom. Its space-group type is No. 122. Its raw formation energy is 43 kJ/mol of formula units.

Unit cell a=7.5876 b=7.5876 c=7.8806 alpha=61.22 beta=61.22 gamma=90.00
Fractional coordinates of all 8 atoms:
Te 0.8750 0.7835 0.7500
Te 0.3750 0.4665 0.7500
Te 0.2165 0.6250 0.2500
Te 0.5335 0.1250 0.2500
Hg 0.7500 0.2500 0.5000
Hg 0.0000 0.0000 0.0000
Nb 0.5000 0.5000 0.0000
Nb 0.2500 0.7500 0.5000